Computed, not measured: a geometry-optimized Th2ScCo structure at the PBE-GGA level of DFT.

```
Th2ScCo
1.0
3.579 0.000 0.000
-1.789 5.715 0.000
0.000 0.000 9.714
Co Th Sc
2 4 2
direct
0.217 0.435 0.250
0.783 0.565 0.750
0.635 0.270 0.436
0.365 0.730 0.564
0.365 0.730 0.936
0.635 0.270 0.064
0.904 0.808 0.250
0.096 0.192 0.750
```

Computed properties:
The uncorrected energy comes out at -7.213 eV per atom. As for the magnetization: 0.0 Bohr magnetons per cell. The space group is Cmcm. As for the crystal system: orthorhombic. The formation energy is -0.1434 eV per atom.

***

Computed, not measured: a geometry-optimized La2CrCdC structure at the PBE-GGA level of DFT.

```
La2CrCdC
1.0
-0.718 1.973 5.031
4.428 -2.695 1.689
2.239 3.114 -0.902
La Cr Cd C
2 1 1 1
direct
0.500 0.000 0.000
0.000 0.500 0.000
0.000 0.000 0.500
0.500 0.500 0.500
0.000 0.000 0.000
```

Computed properties:
The uncorrected energy comes out at -6.049 eV per atom. As for the magnetization: 2.3 Bohr magnetons per cell. The space group is P4/mmm. As for the crystal system: tetragonal. The formation energy is -0.1256 eV per atom.

***

Computed, not measured: a geometry-optimized Pr6Ga2N structure at the PBE-GGA level of DFT.

```
Pr6Ga2N
1.0
-1.328 4.392 -5.336
0.280 -5.395 -4.510
-11.028 -1.698 1.347
Pr Ga N
12 4 2
direct
0.244 0.244 0.000
0.805 0.195 0.158
0.195 0.805 0.842
0.756 0.756 0.000
0.305 0.305 0.658
0.695 0.695 0.658
0.744 0.256 0.500
0.805 0.195 0.842
0.256 0.744 0.500
0.305 0.305 0.342
0.695 0.695 0.342
0.195 0.805 0.158
0.000 0.000 0.633
0.500 0.500 0.133
0.000 0.000 0.367
0.500 0.500 0.867
0.000 0.000 0.000
0.500 0.500 0.500
```

Computed properties:
The uncorrected energy comes out at -5.123 eV per atom. Its uncorrected formation energy is -0.339 eV per atom. As for the magnetization: 0.0 Bohr magnetons per cell. The space group is P4_2/mnm. As for the crystal system: tetragonal.

***

Computed, not measured: a geometry-optimized Pr2Nd2HoEr structure at the PBE-GGA level of DFT.

```
Pr2Nd2HoEr
1.0
-0.224 2.700 -5.060
-2.825 -5.809 -2.975
-9.118 3.319 2.176
Nd Er Pr Ho
4 2 4 2
direct
0.000 0.758 0.164
0.500 0.758 0.668
0.500 0.258 0.332
0.000 0.258 0.836
0.000 0.507 0.500
0.000 0.007 0.500
0.500 0.008 0.000
0.000 0.758 0.822
0.500 0.508 0.000
0.000 0.258 0.178
0.500 0.757 0.341
0.500 0.257 0.659
```

Computed properties:
The uncorrected energy comes out at -4.646 eV per atom. As for the magnetization: 0.0 Bohr magnetons per cell. The space group is Pmma. As for the crystal system: orthorhombic. The formation energy is 0.0597 eV per atom.

***

Computed, not measured: a geometry-optimized NaSiP structure at the PBE-GGA level of DFT.

```
NaSiP
1.0
-2.570 -0.860 2.274
3.165 -1.564 0.233
1.794 4.168 3.604
Na Si P
1 1 1
direct
0.333 0.667 0.713
0.667 0.333 0.133
0.000 0.000 0.326
```

Computed properties:
The uncorrected energy comes out at -4.305 eV per atom. Its uncorrected formation energy is -0.254 eV per atom. As for the magnetization: 0.0 Bohr magnetons per cell. The space group is P3m1. As for the crystal system: trigonal.

***

Computed, not measured: a geometry-optimized Sr2CuSbO structure at the PBE-GGA level of DFT.

```
Sr2CuSbO
1.0
4.247 0.000 0.000
0.000 6.881 0.101
0.000 -2.833 8.155
Cu Sr O Sb
2 4 2 2
direct
0.750 0.459 0.243
0.250 0.541 0.757
0.250 0.203 0.377
0.750 0.797 0.623
0.250 0.212 0.971
0.750 0.788 0.029
0.250 0.846 0.840
0.750 0.154 0.160
0.750 0.321 0.700
0.250 0.679 0.300
```

Computed properties:
The uncorrected energy comes out at -4.686 eV per atom. Its uncorrected formation energy is -1.378 eV per atom. As for the magnetization: 0.0 Bohr magnetons per cell. The space group is P2_1/m. As for the crystal system: monoclinic.

***

Computed, not measured: a geometry-optimized SbTe2RhCl structure at the PBE-GGA level of DFT.

```
SbTe2RhCl
1.0
5.227 0.000 0.000
0.000 5.227 0.000
0.000 0.000 5.244
Te Cl Rh Sb
2 1 1 1
direct
0.000 0.500 0.000
0.500 0.000 0.000
0.500 0.500 0.500
0.000 0.000 0.000
0.000 0.000 0.500
```

Computed properties:
The uncorrected energy comes out at -3.660 eV per atom. Its uncorrected formation energy is 0.260 eV per atom. As for the magnetization: 0.0 Bohr magnetons per cell. The space group is P4/mmm. As for the crystal system: tetragonal.

***

Computed, not measured: a geometry-optimized NaLiZn structure at the PBE-GGA level of DFT.

```
NaLiZn
1.0
2.758 0.000 0.000
0.000 5.031 0.000
0.000 -2.515 4.357
Li Na Zn
1 1 1
direct
0.382 0.667 0.333
0.601 0.333 0.667
0.017 0.000 0.000
```

Computed properties:
The uncorrected energy comes out at -1.452 eV per atom. As for the magnetization: 0.0 Bohr magnetons per cell. The space group is P3m1. As for the crystal system: trigonal. The formation energy is 0.0506 eV per atom.

***

Computed, not measured: a geometry-optimized TbPmDy2N4 structure at the PBE-GGA level of DFT.

```
TbPmDy2N4
1.0
-2.130 2.163 1.774
-4.147 -4.437 0.430
3.741 -0.252 4.798
Dy N Tb Pm
2 4 1 1
direct
0.000 0.500 0.500
0.500 0.000 0.500
0.000 0.755 0.256
0.000 0.245 0.744
0.500 0.752 0.746
0.500 0.248 0.254
0.000 0.000 0.000
0.500 0.500 0.000
```

Computed properties:
The uncorrected energy comes out at -8.102 eV per atom. Its uncorrected formation energy is -1.617 eV per atom. As for the magnetization: 0.0 Bohr magnetons per cell. The space group is P2/m. As for the crystal system: monoclinic.

***

Computed, not measured: a geometry-optimized LaYGa2 structure at the PBE-GGA level of DFT.

```
LaYGa2
1.0
3.665 0.000 0.000
0.000 3.665 0.000
0.000 0.000 7.376
La Ga Y
1 2 1
direct
0.500 0.500 0.500
0.000 0.000 0.772
0.000 0.000 0.228
0.500 0.500 0.000
```

Computed properties:
The uncorrected energy comes out at -4.959 eV per atom. As for the magnetization: 0.0 Bohr magnetons per cell. The space group is P4/mmm. As for the crystal system: tetragonal. The formation energy is -0.5973 eV per atom.

***

Computed, not measured: a geometry-optimized PmY15Sc4 structure at the PBE-GGA level of DFT.

```
PmY15Sc4
1.0
-3.648 0.492 3.345
-1.563 -4.609 -1.027
14.964 -9.005 17.646
Pm Y Sc
1 15 4
direct
0.000 0.000 0.000
0.500 0.500 0.204
0.000 0.500 0.500
0.500 0.000 0.896
0.000 0.500 0.104
0.500 0.500 0.401
0.500 0.500 0.796
0.000 0.500 0.698
0.500 0.500 0.599
0.000 0.500 0.302
0.500 0.000 0.500
0.500 0.500 0.000
0.000 0.500 0.896
0.500 0.000 0.698
0.500 0.000 0.302
0.500 0.000 0.104
0.000 0.000 0.401
0.000 0.000 0.797
0.000 0.000 0.203
0.000 0.000 0.599
```

Computed properties:
The uncorrected energy comes out at -6.307 eV per atom. As for the magnetization: 0.0 Bohr magnetons per cell. The space group is P4/mmm. As for the crystal system: tetragonal. The formation energy is 0.0448 eV per atom.

***

Computed, not measured: a geometry-optimized YHfH2 structure at the PBE-GGA level of DFT.

```
YHfH2
1.0
5.043 0.000 0.000
0.000 5.043 0.000
2.522 2.522 4.654
H Hf Y
4 2 2
direct
0.875 0.908 0.750
0.658 0.125 0.250
0.375 0.342 0.750
0.092 0.625 0.250
0.750 0.250 0.500
0.000 0.000 0.000
0.250 0.750 0.500
0.500 0.500 0.000
```

Computed properties:
The uncorrected energy comes out at -6.090 eV per atom. As for the magnetization: 0.0 Bohr magnetons per cell. The space group is I-42d. As for the crystal system: tetragonal.

***

Computed, not measured: a geometry-optimized Ba2NiHgOs structure at the PBE-GGA level of DFT.

```
Ba2NiHgOs
1.0
6.359 0.000 0.000
0.000 5.013 0.000
0.000 0.000 6.359
Ni Ba Hg Os
1 2 1 1
direct
0.500 0.500 0.500
0.000 0.000 0.500
0.500 0.000 0.000
0.000 0.000 0.000
0.000 0.500 0.000
```

Computed properties:
The uncorrected energy comes out at -3.075 eV per atom. As for the magnetization: 1.7 Bohr magnetons per cell. The space group is P4/mmm. As for the crystal system: tetragonal. The formation energy is 1.1565 eV per atom.

***

Computed, not measured: a geometry-optimized Y3AgW structure at the PBE-GGA level of DFT.

```
Y3AgW
1.0
5.405 0.000 0.000
0.000 5.405 0.000
0.000 0.000 5.405
W Ag Y
1 1 3
direct
0.000 0.000 0.000
0.500 0.500 0.500
0.000 0.000 0.500
0.000 0.500 0.000
0.500 0.000 0.000
```

Computed properties:
The uncorrected energy comes out at -6.427 eV per atom. As for the magnetization: 0.0 Bohr magnetons per cell. The space group is Pm-3m. As for the crystal system: cubic. The formation energy is 0.6121 eV per atom.

***

Computed, not measured: a geometry-optimized RbInSi structure at the PBE-GGA level of DFT.

```
RbInSi
1.0
-2.712 0.040 -2.799
3.698 -3.449 -6.352
0.444 -7.907 -0.547
Rb In Si
2 2 2
direct
0.417 0.837 0.932
0.745 0.179 0.246
0.685 0.300 0.653
0.057 0.556 0.756
0.468 0.733 0.436
0.044 0.582 0.372
```

Computed properties:
The uncorrected energy comes out at -3.006 eV per atom. Its uncorrected formation energy is 0.037 eV per atom. As for the magnetization: 0.0 Bohr magnetons per cell. The space group is Cm. As for the crystal system: monoclinic.

***

Computed, not measured: a geometry-optimized TiAlGaPd structure at the PBE-GGA level of DFT.

```
TiAlGaPd
1.0
2.969 0.000 0.000
0.000 3.997 0.000
0.000 -1.998 5.627
Ti Ga Al Pd
1 1 1 1
direct
0.500 0.281 0.561
0.000 0.698 0.395
0.000 0.939 0.878
0.500 0.513 0.026
```

Computed properties:
The uncorrected energy comes out at -5.426 eV per atom. As for the magnetization: 0.0 Bohr magnetons per cell. The space group is Amm2. As for the crystal system: orthorhombic. The formation energy is -0.4620 eV per atom.

***

Computed, not measured: a geometry-optimized TmPuTcAg structure at the PBE-GGA level of DFT.

```
TmPuTcAg
1.0
-3.789 -3.121 0.477
-2.122 -1.933 -4.011
0.598 -4.783 -1.044
Ag Pu Tc Tm
1 1 1 1
direct
0.250 0.250 0.250
0.000 0.000 0.000
0.750 0.750 0.750
0.500 0.500 0.500
```

Computed properties:
The uncorrected energy comes out at -7.969 eV per atom. As for the magnetization: 4.6 Bohr magnetons per cell. The space group is F-43m. As for the crystal system: cubic. The formation energy is 0.0358 eV per atom.

***

Computed, not measured: a geometry-optimized Ca2HfMn structure at the PBE-GGA level of DFT.

```
Ca2HfMn
1.0
-3.622 0.731 3.563
-1.906 4.699 0.796
-4.811 1.092 -1.417
Ca Hf Mn
2 1 1
direct
0.250 0.250 0.250
0.750 0.750 0.750
0.500 0.500 0.500
0.000 0.000 0.000
```

Computed properties:
The uncorrected energy comes out at -4.665 eV per atom. As for the magnetization: 0.0 Bohr magnetons per cell. The space group is Fm-3m. As for the crystal system: cubic. The formation energy is 1.1162 eV per atom.

***

Computed, not measured: a geometry-optimized BaLiLa2 structure at the PBE-GGA level of DFT.

```
BaLiLa2
1.0
6.023 0.000 0.000
0.000 5.071 0.000
0.000 0.000 5.071
Ba Li La
1 1 2
direct
0.500 0.000 0.500
0.500 0.500 0.000
0.000 0.500 0.500
0.000 0.000 0.000
```

Computed properties:
The uncorrected energy comes out at -3.180 eV per atom. As for the magnetization: 0.0 Bohr magnetons per cell. The space group is P4/mmm. As for the crystal system: tetragonal. The formation energy is 0.2424 eV per atom.

***

Computed, not measured: a geometry-optimized YGa2OsF structure at the PBE-GGA level of DFT.

```
YGa2OsF
1.0
4.402 0.000 0.000
0.000 4.470 0.000
0.000 0.000 4.402
F Ga Os Y
1 2 1 1
direct
0.000 0.000 0.000
0.500 0.000 0.000
0.000 0.000 0.500
0.500 0.500 0.500
0.000 0.500 0.000
```

Computed properties:
The uncorrected energy comes out at -5.527 eV per atom. Its uncorrected formation energy is -0.403 eV per atom. As for the magnetization: 0.0 Bohr magnetons per cell. The space group is P4/mmm. As for the crystal system: tetragonal.

***

Computed, not measured: a geometry-optimized CaTlH structure at the PBE-GGA level of DFT.

```
CaTlH
1.0
3.857 0.000 0.000
0.000 3.857 0.000
0.000 0.000 8.333
Tl H Ca
2 2 2
direct
0.500 0.000 0.612
0.000 0.500 0.388
0.000 0.000 0.000
0.500 0.500 0.000
0.000 0.500 0.855
0.500 0.000 0.145
```

Computed properties:
The uncorrected energy comes out at -3.021 eV per atom. As for the magnetization: 0.0 Bohr magnetons per cell. The space group is P4/nmm. As for the crystal system: tetragonal.

***

Computed, not measured: a geometry-optimized BeCoSn3 structure at the PBE-GGA level of DFT.

```
BeCoSn3
1.0
-3.090 3.717 0.071
-2.977 -2.419 -2.942
-2.227 -1.924 3.835
Be Co Sn
1 1 3
direct
0.000 0.000 0.000
0.500 0.500 0.500
0.000 0.500 0.000
0.500 0.000 0.000
0.000 0.000 0.500
```

Computed properties:
The uncorrected energy comes out at -3.754 eV per atom. As for the magnetization: 1.6 Bohr magnetons per cell. The space group is Pm-3m. As for the crystal system: cubic. The formation energy is 0.8140 eV per atom.

***

Computed, not measured: a geometry-optimized InSiAg2 structure at the PBE-GGA level of DFT.

```
InSiAg2
1.0
4.850 0.069 0.071
3.906 2.876 0.071
1.285 0.432 5.643
In Si Ag
1 1 2
direct
0.750 0.750 0.750
0.250 0.250 0.250
0.510 0.510 0.475
0.990 0.990 0.025
```

Computed properties:
The uncorrected energy comes out at -3.253 eV per atom. Its uncorrected formation energy is 0.213 eV per atom. As for the magnetization: 0.0 Bohr magnetons per cell. The space group is C2/m. As for the crystal system: monoclinic.

***

Computed, not measured: a geometry-optimized Sr2Pr structure at the PBE-GGA level of DFT.

```
Sr2Pr
1.0
3.992 0.000 0.000
0.000 3.992 0.000
-1.996 -1.996 8.691
Sr Pr
2 1
direct
0.657 0.657 0.314
0.343 0.343 0.686
0.000 0.000 0.000
```

Computed properties:
The uncorrected energy comes out at -2.585 eV per atom. As for the magnetization: 0.0 Bohr magnetons per cell. The space group is I4/mmm. As for the crystal system: tetragonal. The formation energy is 0.1292 eV per atom.

***

Computed, not measured: a geometry-optimized Na2LaHPt structure at the PBE-GGA level of DFT.

```
Na2LaHPt
1.0
4.258 0.000 0.000
0.000 4.258 0.000
0.000 0.000 5.456
H Na Pt La
1 2 1 1
direct
0.000 0.000 0.000
0.000 0.500 0.000
0.500 0.000 0.000
0.500 0.500 0.500
0.000 0.000 0.500
```

Computed properties:
The uncorrected energy comes out at -3.797 eV per atom. As for the magnetization: 0.0 Bohr magnetons per cell. The space group is P4/mmm. As for the crystal system: tetragonal.

***

Computed, not measured: a geometry-optimized YAlCu2Rh structure at the PBE-GGA level of DFT.

```
YAlCu2Rh
1.0
4.465 0.000 0.000
0.000 4.644 0.000
0.000 0.000 4.465
Al Cu Rh Y
1 2 1 1
direct
0.000 0.000 0.000
0.500 0.000 0.000
0.000 0.000 0.500
0.000 0.500 0.000
0.500 0.500 0.500
```

Computed properties:
The uncorrected energy comes out at -5.198 eV per atom. As for the magnetization: 0.0 Bohr magnetons per cell. The space group is P4/mmm. As for the crystal system: tetragonal. The formation energy is -0.0478 eV per atom.

***

Computed, not measured: a geometry-optimized YReAu2 structure at the PBE-GGA level of DFT.

```
YReAu2
1.0
-9.866 0.737 -0.685
-9.718 -1.546 1.237
-9.578 1.265 2.242
Re Au Y
1 2 1
direct
0.250 0.250 0.250
0.506 0.506 0.506
0.994 0.994 0.994
0.750 0.750 0.750
```

Computed properties:
The uncorrected energy comes out at -5.973 eV per atom. As for the magnetization: 0.0 Bohr magnetons per cell. The space group is R-3m. As for the crystal system: trigonal. The formation energy is 0.3940 eV per atom.